# TiGeN2F, single point on PBEsol structure, DFT meta-GGA SCAN
data_TiGeN2F
_chemical_formula_sum 'Ti1 Ge1 N2 F1'
_symmetry_space_group_name_H-M 'P 4/m m m'
_symmetry_Int_Tables_number 123
_symmetry_space_group_name_Hall '-P 4 2'
_cell_length_a 3.939
_cell_length_b 3.939
_cell_length_c 3.870
_cell_angle_alpha 90.00
_cell_angle_beta 90.00
_cell_angle_gamma 90.00
loop_
_atom_site_label
_atom_site_type_symbol
_atom_site_fract_x
_atom_site_fract_y
_atom_site_fract_z
Ti1 Ti 0.000 0.000 0.000
Ge1 Ge 0.500 0.500 0.500
N1 N 0.000 0.500 0.000
F1 F 0.000 0.000 0.500
# **ΔE_f (raw)**: -0.649 eV/atom
# **Distance to the lowest polymorph of the same formula**: 0 meV/atom
# **M_tot**: 0.0 μB/f.u.
# **Raw total energy**: -12.097 eV per atom
# **DOS(E_F)**: 2.30 states/eV/f.u.